[1]
Computed, not measured: a relaxed CaTi2CdAs crystal at the PBE level of DFT.

Unit cell a=4.830 b=5.327 c=4.830 alpha=90.00 beta=90.00 gamma=90.00
Last column: magnetic moment on the atom in μB.
Sites, in units of the cell vectors:
Ti1 0.500 0.000 0.000  0.80
Ti2 0.000 0.000 0.500  0.84
As1 0.500 0.500 0.500  0.02
Ca1 0.000 0.000 0.000  0.19
Cd1 0.000 0.500 0.000  0.02

Calculated values
energy of formation from the pure elements	1607	meV/atom
SG	P4/mmm (123)

[2]
Computed, not measured: a relaxed Ca2UCdAs4 crystal at the PBE level of DFT.

Unit cell a=4.226 b=6.828 c=7.381 alpha=109.82 beta=90.00 gamma=90.00
Last column: magnetic moment on the atom in μB.
Sites, in units of the cell vectors:
As1 0.000 0.729 0.229  -0.03
As2 0.000 0.271 0.771  -0.03
As3 0.500 0.259 0.232  -0.03
As4 0.500 0.741 0.768  -0.03
Cd1 0.000 0.000 0.000  0.00
Ca1 0.000 0.500 0.500  -0.01
Ca2 0.500 0.000 0.500  -0.01
U1 0.500 0.500 0.000  0.46

Calculated values
energy of formation from the pure elements	-710	meV/atom
SG	P2/m (10)

[3]
Computed, not measured: a relaxed Ca3U3CdAs8 crystal at the PBE level of DFT.

Unit cell a=8.123 b=8.121 c=8.376 alpha=118.98 beta=90.00 gamma=120.01
Last column: magnetic moment on the atom in μB.
Sites, in units of the cell vectors:
As1 0.745 0.490 0.264  -0.05
As2 0.744 0.489 0.733  -0.05
As3 0.276 0.020 0.264  -0.05
As4 0.255 0.510 0.736  -0.05
As5 0.256 0.980 0.736  -0.05
As6 0.256 0.511 0.267  -0.05
As7 0.744 0.020 0.264  -0.05
As8 0.724 0.980 0.736  -0.05
U1 0.500 0.500 0.500  1.26
U2 0.500 0.000 0.500  1.26
U3 0.000 0.500 0.500  1.26
Ca1 0.000 0.000 0.000  -0.01
Ca2 0.500 0.500 0.000  -0.01
Ca3 0.000 0.500 0.000  -0.01
Cd1 0.000 0.000 0.500  -0.01

Calculated values
energy of formation from the pure elements	-656	meV/atom
SG	R-3m (166)

[4]
Computed, not measured: a relaxed Ca4U3CdAs8 crystal at the PBE level of DFT.

Unit cell a=8.285 b=8.382 c=8.283 alpha=119.61 beta=120.01 gamma=90.00
Last column: magnetic moment on the atom in μB.
Sites, in units of the cell vectors:
U1 0.500 0.500 0.500  1.58
U2 0.500 0.500 0.000  1.58
U3 0.000 0.500 0.500  1.58
Ca1 0.000 0.000 0.000  -0.01
Ca2 0.000 0.000 0.500  -0.01
Ca3 0.500 0.000 0.500  -0.01
Ca4 0.500 0.000 0.000  -0.01
As1 0.744 0.731 0.488  -0.06
As2 0.249 0.731 0.497  -0.07
As3 0.751 0.269 0.018  -0.07
As4 0.733 0.731 0.982  -0.07
As5 0.751 0.269 0.503  -0.07
As6 0.249 0.731 0.982  -0.07
As7 0.267 0.269 0.018  -0.07
As8 0.256 0.269 0.512  -0.06
Cd1 0.000 0.500 0.000  -0.01

Calculated values
energy of formation from the pure elements	-842	meV/atom
SG	R-3m (166)

[5]
Computed, not measured: a relaxed CaCd2AsW crystal at the PBE level of DFT.

Unit cell a=5.541 b=5.318 c=5.541 alpha=90.00 beta=90.00 gamma=90.00
Last column: magnetic moment on the atom in μB.
Sites, in units of the cell vectors:
Cd1 0.000 0.000 0.500  0.00
Cd2 0.500 0.000 0.000  0.01
Ca1 0.000 0.000 0.000  -0.01
As1 0.000 0.500 0.000  -0.15
W1 0.500 0.500 0.500  3.30

Calculated values
energy of formation from the pure elements	1648	meV/atom
SG	P4/mmm (123)

[6]
Computed, not measured: a relaxed CaZnCdAs2 crystal at the PBE level of DFT.

Unit cell a=4.266 b=7.513 c=8.311 alpha=79.54 beta=75.13 gamma=73.51
Sites, in units of the cell vectors:
Ca1 0.783 0.786 0.648
Ca2 0.217 0.214 0.352
As1 0.162 0.762 0.914
As2 0.838 0.238 0.086
As3 0.589 0.206 0.616
As4 0.411 0.794 0.384
Zn1 0.945 0.893 0.217
Zn2 0.055 0.107 0.783
Cd1 0.364 0.379 0.893
Cd2 0.636 0.621 0.107

Calculated values
energy of formation from the pure elements	-519	meV/atom
SG	C2/m (12)

[7]
Computed, not measured: a relaxed CaCeAs2 crystal at the PBE level of DFT.

Unit cell a=4.262 b=4.262 c=7.239 alpha=72.88 beta=72.88 gamma=60.00
Sites, in units of the cell vectors:
Ce1 0.000 0.000 0.000
Ca1 0.500 0.500 0.500
As1 0.745 0.745 0.766
As2 0.255 0.255 0.234

Calculated values
distance to the lowest polymorph of the same formula	0.000	eV/atom
energy of formation from the pure elements	-1302	meV/atom
SG	R-3m (166)

[8]
Computed, not measured: a relaxed CaCe4As5 crystal at the PBE level of DFT.

Unit cell a=4.236 b=7.319 c=9.452 alpha=75.12 beta=77.05 gamma=73.18
Last column: magnetic moment on the atom in μB.
Sites, in units of the cell vectors:
Ce1 0.401 0.800 0.397  0.64
Ce2 0.202 0.398 0.199  0.58
Ce3 0.798 0.602 0.801  0.58
Ce4 0.599 0.200 0.603  0.64
As1 0.396 0.311 0.897  -0.03
As2 0.798 0.100 0.304  -0.03
As3 0.604 0.689 0.103  -0.03
As4 0.202 0.900 0.696  -0.03
As5 0.000 0.500 0.500  -0.03
Ca1 0.000 0.000 0.000  0.00

Calculated values
energy of formation from the pure elements	-1373	meV/atom
SG	C2/m (12)

Q: Which value of energy of formation from the pure elements does entry 2 give?
A: -710 meV/atom